1.
VASP calculation (PBE) on a geometry-optimized Tb4Er15Mg structure.

abc: 4.9544 4.9543 24.8187
angles: 90.00 90.00 90.00
Fractional coordinates of all 20 atoms:
Tb (0.0000, 0.0000, 0.1981)
Tb (0.0000, 0.0000, 0.3992)
Tb (0.0000, 0.0000, 0.6008)
Tb (0.0000, 0.0000, 0.8019)
Er (0.5000, 0.5000, 0.0000)
Er (0.5000, 0.5000, 0.1962)
Er (0.5000, 0.5000, 0.3990)
Er (0.5000, 0.5000, 0.6010)
Er (0.5000, 0.5000, 0.8038)
Er (0.5000, 0.0000, 0.0981)
Er (0.5000, 0.0000, 0.2985)
Er (0.5000, 0.0000, 0.5000)
Er (0.5000, 0.0000, 0.7015)
Er (0.5000, 0.0000, 0.9019)
Er (0.0000, 0.5000, 0.0981)
Er (0.0000, 0.5000, 0.2985)
Er (0.0000, 0.5000, 0.5000)
Er (0.0000, 0.5000, 0.7015)
Er (0.0000, 0.5000, 0.9019)
Mg (0.0000, 0.0000, 0.0000)

Size of the total moment ... 0.00 μB/cell
Energy of formation from the pure elements ... 0.02 eV/atom
Uncorrected energy ... -88.1 eV per cell
Fermi-level density of states ... 1.2579 states/eV/atom
ρ ... 8.638 g/cm³

---

2.
VASP calculation (PBE) on a geometry-optimized Ac2HoSi3Rh12 structure.

abc: 6.8285 6.8285 6.8285
angles: 84.75 84.75 84.75
Fractional coordinates of all 18 atoms:
Ac (0.6349, 0.6349, 0.6349)
Ac (0.3651, 0.3651, 0.3651)
Ho (0.0000, 0.0000, 0.0000)
Si (0.5000, 0.0000, 0.0000)
Si (0.0000, 0.5000, 0.0000)
Si (0.0000, 0.0000, 0.5000)
Rh (0.3703, 0.3703, 0.9156)
Rh (0.8198, 0.8198, 0.3230)
Rh (0.3230, 0.8198, 0.8198)
Rh (0.9156, 0.3703, 0.3703)
Rh (0.8198, 0.3230, 0.8198)
Rh (0.3703, 0.9156, 0.3703)
Rh (0.6297, 0.6297, 0.0844)
Rh (0.1802, 0.1802, 0.6770)
Rh (0.6770, 0.1802, 0.1802)
Rh (0.0844, 0.6297, 0.6297)
Rh (0.1802, 0.6770, 0.1802)
Rh (0.6297, 0.0844, 0.6297)

Size of the total moment ... 0.00 μB/cell
Uncorrected energy ... -122.9 eV per cell
Fermi-level density of states ... 0.9821 states/eV/atom
ρ ... 10.228 g/cm³
Formation energy without anion corrections ... -311 meV per atom

---

3.
VASP calculation (PBE) on a geometry-optimized Y2CdRh structure.

abc: 3.5278 3.5289 8.2879
angles: 64.79 90.00 90.00
Fractional coordinates of all 4 atoms:
Y (0.0000, 0.0284, 0.9705)
Y (0.0000, 0.4716, 0.5295)
Rh (0.5000, 0.7500, 0.7500)
Cd (0.5000, 0.2500, 0.2500)

Size of the total moment ... 0.00 μB/cell
Energy of formation from the pure elements ... -0.61 eV/atom
Uncorrected energy ... -23.6 eV per cell
Fermi-level density of states ... 0.5684 states/eV/atom
ρ ... 6.993 g/cm³